A relaxed Sr2LiV crystal. Source: the Alexandria database, functional PBE.

DOS at the Fermi energy: 1.08 states/eV/atom
uncorrected energy: -22.87 eV/cell
E above lowest polymorph: 0.94 eV per formula unit

Cell: 8.8454 8.8454 7.2155 Å, 52.20 52.20 90.00°
Site moments in Bohr magnetons follow the coordinates.
Atoms (fractional coordinates):
Li 0.2500 0.7500 0.5000  0.00
Sr 0.1291 0.6250 0.2500  0.10
Sr 0.8750 0.8709 0.7500  0.10
Sr 0.3750 0.3791 0.7500  0.10
V 0.0000 0.0000 0.0000  3.12
Sr 0.6209 0.1250 0.2500  0.10
Li 0.5000 0.5000 0.0000  0.00
V 0.7500 0.2500 0.5000  3.12